No. 1
VASP calculation (GGA-PBE) on an optimized crystal structure of ThMgP2Rh5.

a b c (Å): 4.1338 4.1338 8.3976
angles (deg): 90.00 90.00 90.00
Sites, in units of the cell vectors:
P: 0.5000 0.5000 0.1494
P: 0.5000 0.5000 0.8506
Rh: 0.5000 0.5000 0.5000
Rh: 0.0000 0.5000 0.7265
Rh: 0.5000 0.0000 0.7265
Rh: 0.5000 0.0000 0.2735
Rh: 0.0000 0.5000 0.2735
Th: 0.0000 0.0000 0.0000
Mg: 0.0000 0.0000 0.5000



No. 2
VASP calculation (GGA-PBE) on an optimized crystal structure of Th2MgP3Rh4.

a b c (Å): 3.9892 3.9892 10.9500
angles (deg): 90.00 90.00 90.00
Sites, in units of the cell vectors:
P: 0.5000 0.0000 0.8722
P: 0.0000 0.0000 0.5000
P: 0.0000 0.5000 0.1278
Rh: 0.0000 0.0000 0.0000
Rh: 0.5000 0.5000 0.0000
Rh: 0.0000 0.5000 0.3420
Rh: 0.5000 0.0000 0.6580
Mg: 0.5000 0.5000 0.5000
Th: 0.0000 0.5000 0.7631
Th: 0.5000 0.0000 0.2369



No. 3
VASP calculation (GGA-PBE) on an optimized crystal structure of Mg2TiP2Rh5.

a b c (Å): 3.3934 9.3754 9.3754
angles (deg): 90.00 90.00 90.00
Sites, in units of the cell vectors:
Mg: 0.0000 0.3273 0.8273
Mg: 0.0000 0.1727 0.3273
Mg: 0.0000 0.6727 0.1727
Mg: 0.0000 0.8273 0.6727
P: 0.0000 0.3726 0.1274
P: 0.0000 0.1274 0.6274
P: 0.0000 0.6274 0.8726
P: 0.0000 0.8726 0.3726
Rh: 0.5000 0.2905 0.5726
Rh: 0.5000 0.5726 0.7095
Rh: 0.5000 0.2095 0.0726
Rh: 0.5000 0.7095 0.4274
Rh: 0.5000 0.5000 0.0000
Rh: 0.5000 0.7905 0.9274
Rh: 0.5000 0.9274 0.2095
Rh: 0.5000 0.4274 0.2905
Rh: 0.5000 0.0000 0.5000
Rh: 0.5000 0.0726 0.7905
Ti: 0.0000 0.5000 0.5000
Ti: 0.0000 0.0000 0.0000



Size of the total moment / Bohr magnetons per cell: 0.00, 0.00, 0.00
ΔE_f / kcal/mol of atoms: -19.51, -24.16, -15.86
DOS at the Fermi energy / states/eV/cell: 5.90, 4.93, 5.90